Below is a relaxed PmEr2Pu3Se6 crystal, with properties calculated at the PBE level.

Results
The formation energy (no corrections) comes out at -19.9 eV per formula unit. Its total magnetization is 5.9 μB/f.u. Its final energy is -8.141 eV/atom.

a = 4.107 Å, b = 8.240 Å, c = 9.205 Å
α = 102.60°, β = 102.89°, γ = 90.00°
Element x y z (fractional)
Se  0.669  0.091  0.338
Se  0.331  0.909  0.662
Se  0.003  0.256  0.007
Se  0.669  0.580  0.338
Se  0.331  0.420  0.662
Se  0.997  0.744  0.993
Er  0.167  0.335  0.333
Er  0.833  0.665  0.667
Pm  0.500  0.000  0.000
Pu  0.500  0.500  0.000
Pu  0.835  0.165  0.671
Pu  0.165  0.835  0.329

Below is a relaxed PmEr2PuSe4 crystal, with properties calculated at the PBE level.

Results
The formation energy (no corrections) comes out at -13.7 eV per formula unit. Its total magnetization is 6.0 μB/f.u. Its final energy is -6.982 eV/atom.

a = 4.075 Å, b = 7.143 Å, c = 7.101 Å
α = 70.97°, β = 90.00°, γ = 90.00°
Element x y z (fractional)
Er  0.500  0.000  0.500
Er  0.000  0.000  0.000
Pu  0.000  0.500  0.500
Se  0.500  0.761  0.248
Se  0.000  0.762  0.744
Se  0.500  0.239  0.752
Se  0.000  0.238  0.256
Pm  0.500  0.500  0.000

Below is a relaxed Pm2ErPuSe5 crystal, with properties calculated at the PBE level.

Results
The formation energy (no corrections) comes out at -10.8 eV per formula unit. Its total magnetization is 6.5 μB/f.u. Its final energy is -6.294 eV/atom.

a = 5.052 Å, b = 5.052 Å, c = 10.869 Å
α = 90.00°, β = 90.00°, γ = 90.00°
Element x y z (fractional)
Se  0.000  0.500  0.500
Se  0.500  0.000  0.500
Se  0.500  0.500  0.000
Se  0.000  0.000  0.249
Se  0.000  0.000  0.751
Pu  0.000  0.000  0.000
Pm  0.500  0.500  0.712
Pm  0.500  0.500  0.288
Er  0.000  0.000  0.500

Below is a relaxed Pm2Er3PuSe6 crystal, with properties calculated at the PBE level.

Results
The formation energy (no corrections) comes out at -20.8 eV per formula unit. Its total magnetization is 6.0 μB/f.u. Its final energy is -6.606 eV/atom.

a = 4.069 Å, b = 8.292 Å, c = 9.213 Å
α = 103.86°, β = 102.76°, γ = 90.00°
Element x y z (fractional)
Pm  0.834  0.668  0.669
Pm  0.166  0.332  0.331
Er  0.500  0.500  0.000
Er  0.833  0.164  0.666
Er  0.167  0.836  0.334
Se  0.669  0.075  0.338
Se  0.331  0.925  0.662
Se  0.004  0.745  0.007
Se  0.664  0.592  0.327
Se  0.336  0.408  0.673
Se  0.996  0.255  0.993
Pu  0.500  0.000  0.000

Below is a relaxed Pm6Sm3Er2Pu crystal, with properties calculated at the PBE level.

Results
Its total magnetization is 6.7 μB/f.u. Its final energy is -5.462 eV/atom. For the energy of formation from the pure elements, the calculation gives 4.6 kJ per mole of atoms.

a = 6.251 Å, b = 6.251 Å, c = 11.881 Å
α = 95.05°, β = 95.05°, γ = 120.03°
Element x y z (fractional)
Pm  0.752  0.752  0.245
Pm  0.248  0.248  0.755
Pm  0.918  0.589  0.755
Pm  0.411  0.082  0.245
Pm  0.082  0.411  0.245
Pm  0.589  0.918  0.755
Pu  0.000  0.000  0.000
Er  0.667  0.333  0.000
Er  0.333  0.667  0.000
Sm  0.833  0.167  0.500
Sm  0.167  0.833  0.500
Sm  0.500  0.500  0.500

Below is a relaxed Pm3Sm2Er6Pu crystal, with properties calculated at the PBE level.

Results
Its total magnetization is 6.4 μB/f.u. Its final energy is -5.408 eV/atom. For the energy of formation from the pure elements, the calculation gives 4.0 kJ per mole of atoms.

a = 6.167 Å, b = 6.167 Å, c = 11.672 Å
α = 95.06°, β = 95.06°, γ = 120.01°
Element x y z (fractional)
Er  0.754  0.754  0.247
Er  0.246  0.246  0.753
Er  0.082  0.411  0.247
Er  0.918  0.589  0.753
Er  0.411  0.082  0.247
Er  0.589  0.918  0.753
Pu  0.000  0.000  0.000
Pm  0.833  0.167  0.500
Pm  0.167  0.833  0.500
Pm  0.500  0.500  0.500
Sm  0.333  0.667  0.000
Sm  0.667  0.333  0.000

Below is a relaxed PmErPuSn crystal, with properties calculated at the PBE level.

Results
Its total magnetization is 7.0 μB/f.u. Its final energy is -7.043 eV/atom. For the energy of formation from the pure elements, the calculation gives -12.6 kJ per mole of atoms.

a = 5.438 Å, b = 5.438 Å, c = 5.438 Å
α = 60.00°, β = 60.00°, γ = 60.00°
Element x y z (fractional)
Er  0.750  0.750  0.750
Pm  0.500  0.500  0.500
Pu  0.000  0.000  0.000
Sn  0.250  0.250  0.250

Below is a relaxed Tb6Pm2Er3Pu crystal, with properties calculated at the PBE level.

Results
Its total magnetization is 6.3 μB/f.u. Its final energy is -5.394 eV/atom. For the energy of formation from the pure elements, the calculation gives 4.7 kJ per mole of atoms.

a = 6.153 Å, b = 6.153 Å, c = 11.737 Å
α = 95.03°, β = 95.03°, γ = 120.05°
Element x y z (fractional)
Tb  0.246  0.246  0.749
Tb  0.587  0.917  0.749
Tb  0.083  0.413  0.251
Tb  0.917  0.587  0.749
Tb  0.413  0.083  0.251
Tb  0.754  0.754  0.251
Er  0.167  0.833  0.500
Er  0.500  0.500  0.500
Er  0.833  0.167  0.500
Pm  0.667  0.333  0.000
Pm  0.333  0.667  0.000
Pu  0.000  0.000  0.000

Below is a relaxed Tb3Pm6Er2Pu crystal, with properties calculated at the PBE level.

Results
Its total magnetization is 6.6 μB/f.u. Its final energy is -5.443 eV/atom. For the energy of formation from the pure elements, the calculation gives 4.3 kJ per mole of atoms.

a = 6.224 Å, b = 6.224 Å, c = 11.797 Å
α = 95.05°, β = 95.05°, γ = 120.01°
Element x y z (fractional)
Pm  0.587  0.917  0.753
Pm  0.083  0.413  0.247
Pm  0.413  0.083  0.247
Pm  0.753  0.753  0.247
Pm  0.247  0.247  0.753
Pm  0.917  0.587  0.753
Tb  0.167  0.833  0.500
Tb  0.500  0.500  0.500
Tb  0.833  0.167  0.500
Er  0.667  0.333  0.000
Er  0.333  0.667  0.000
Pu  0.000  0.000  0.000

Below is a relaxed Tb6Pm3Er2Pu crystal, with properties calculated at the PBE level.

Results
Its total magnetization is 6.6 μB/f.u. Its final energy is -5.413 eV/atom. For the energy of formation from the pure elements, the calculation gives 4.3 kJ per mole of atoms.

a = 6.169 Å, b = 6.169 Å, c = 11.768 Å
α = 95.03°, β = 95.03°, γ = 120.02°
Element x y z (fractional)
Pm  0.833  0.167  0.500
Pm  0.167  0.833  0.500
Pm  0.500  0.500  0.500
Tb  0.918  0.589  0.755
Tb  0.589  0.918  0.755
Tb  0.082  0.411  0.245
Tb  0.411  0.082  0.245
Tb  0.752  0.752  0.245
Tb  0.248  0.248  0.755
Er  0.667  0.333  0.000
Er  0.333  0.667  0.000
Pu  0.000  0.000  0.000

Below is a relaxed Tb3Pm2Er6Pu crystal, with properties calculated at the PBE level.

Results
Its total magnetization is 6.3 μB/f.u. Its final energy is -5.380 eV/atom. For the energy of formation from the pure elements, the calculation gives 4.3 kJ per mole of atoms.

a = 6.128 Å, b = 6.128 Å, c = 11.649 Å
α = 95.04°, β = 95.04°, γ = 120.03°
Element x y z (fractional)
Tb  0.500  0.500  0.500
Tb  0.167  0.833  0.500
Tb  0.833  0.167  0.500
Er  0.412  0.083  0.250
Er  0.588  0.917  0.750
Er  0.083  0.412  0.250
Er  0.917  0.588  0.750
Er  0.246  0.246  0.750
Er  0.754  0.754  0.250
Pu  0.000  0.000  0.000
Pm  0.333  0.667  0.000
Pm  0.667  0.333  0.000

Below is a relaxed Pm3Er2PuTe6 crystal, with properties calculated at the PBE level.

Results
The formation energy (no corrections) comes out at -15.7 eV per formula unit. Its total magnetization is 6.1 μB/f.u. Its final energy is -6.022 eV/atom.

a = 4.373 Å, b = 8.885 Å, c = 9.891 Å
α = 103.62°, β = 102.77°, γ = 90.00°
Element x y z (fractional)
Te  0.671  0.576  0.342
Te  0.333  0.909  0.666
Te  0.998  0.751  0.995
Te  0.667  0.091  0.334
Te  0.002  0.249  0.005
Te  0.329  0.424  0.658
Pm  0.836  0.166  0.671
Pm  0.500  0.500  0.000
Pm  0.164  0.834  0.329
Er  0.837  0.673  0.674
Er  0.163  0.327  0.326
Pu  0.500  0.000  0.000

Below is a relaxed PmEr3Pu2Te6 crystal, with properties calculated at the PBE level.

Results
The formation energy (no corrections) comes out at -14.8 eV per formula unit. Its total magnetization is 12.1 μB/f.u. Its final energy is -6.728 eV/atom.

a = 4.356 Å, b = 8.809 Å, c = 9.818 Å
α = 103.53°, β = 102.82°, γ = 90.00°
Element x y z (fractional)
Te  0.330  0.920  0.661
Te  0.335  0.412  0.670
Te  0.665  0.588  0.330
Te  0.670  0.080  0.339
Te  0.002  0.743  0.004
Te  0.998  0.257  0.996
Er  0.166  0.834  0.331
Er  0.500  0.500  0.000
Er  0.834  0.166  0.669
Pu  0.834  0.667  0.668
Pu  0.166  0.333  0.332
Pm  0.500  0.000  0.000

Below is a relaxed Pm2Er3PuTe6 crystal, with properties calculated at the PBE level.

Results
The formation energy (no corrections) comes out at -15.3 eV per formula unit. Its total magnetization is 6.1 μB/f.u. Its final energy is -5.975 eV/atom.

a = 4.352 Å, b = 8.839 Å, c = 9.835 Å
α = 103.75°, β = 102.78°, γ = 90.00°
Element x y z (fractional)
Pm  0.167  0.334  0.333
Pm  0.833  0.666  0.667
Te  0.336  0.409  0.672
Te  0.668  0.077  0.336
Te  0.332  0.923  0.664
Te  0.664  0.591  0.328
Te  0.003  0.746  0.006
Te  0.997  0.254  0.994
Er  0.500  0.500  0.000
Er  0.168  0.836  0.336
Er  0.832  0.164  0.664
Pu  0.500  0.000  0.000

Below is a relaxed PmErPu2Te5 crystal, with properties calculated at the PBE level.

Results
The formation energy (no corrections) comes out at -6.5 eV per formula unit. Its total magnetization is 11.9 μB/f.u. Its final energy is -6.682 eV/atom.

a = 5.484 Å, b = 5.484 Å, c = 11.709 Å
α = 90.00°, β = 90.00°, γ = 90.00°
Element x y z (fractional)
Te  0.000  0.500  0.500
Te  0.000  0.000  0.752
Te  0.500  0.000  0.500
Te  0.500  0.500  0.000
Te  0.000  0.000  0.248
Pm  0.000  0.000  0.000
Pu  0.500  0.500  0.679
Pu  0.500  0.500  0.321
Er  0.000  0.000  0.500

Below is a relaxed Pm2ErPu3Te6 crystal, with properties calculated at the PBE level.

Results
The formation energy (no corrections) comes out at -14.9 eV per formula unit. Its total magnetization is 17.8 μB/f.u. Its final energy is -7.565 eV/atom.

a = 4.404 Å, b = 8.886 Å, c = 9.918 Å
α = 103.58°, β = 102.83°, γ = 90.00°
Element x y z (fractional)
Pm  0.832  0.663  0.665
Pm  0.168  0.337  0.335
Te  0.999  0.243  0.997
Te  0.001  0.757  0.003
Te  0.335  0.413  0.669
Te  0.664  0.081  0.327
Te  0.665  0.587  0.331
Te  0.336  0.919  0.673
Pu  0.831  0.165  0.662
Pu  0.500  0.500  0.000
Pu  0.169  0.835  0.338
Er  0.500  0.000  0.000

Below is a relaxed Pm3Er3PuTe8 crystal, with properties calculated at the PBE level.

Results
The formation energy (no corrections) comes out at -20.0 eV per formula unit. Its total magnetization is 6.2 μB/f.u. Its final energy is -5.829 eV/atom.

a = 8.752 Å, b = 8.752 Å, c = 8.784 Å
α = 119.89°, β = 90.00°, γ = 120.00°
Element x y z (fractional)
Pm  0.000  0.500  0.000
Pm  0.000  0.000  0.000
Pm  0.500  0.500  0.000
Er  0.500  0.000  0.500
Er  0.000  0.500  0.500
Er  0.500  0.500  0.500
Pu  0.000  0.000  0.500
Te  0.746  0.492  0.738
Te  0.257  0.992  0.749
Te  0.254  0.508  0.262
Te  0.743  0.486  0.251
Te  0.735  0.992  0.749
Te  0.257  0.514  0.749
Te  0.743  0.008  0.251
Te  0.265  0.008  0.251

Below is a relaxed Pm3ErPu2Te6 crystal, with properties calculated at the PBE level.

Results
The formation energy (no corrections) comes out at -15.5 eV per formula unit. Its total magnetization is 11.9 μB/f.u. Its final energy is -6.816 eV/atom.

a = 4.407 Å, b = 8.900 Å, c = 9.919 Å
α = 103.41°, β = 102.84°, γ = 90.00°
Element x y z (fractional)
Pm  0.831  0.166  0.662
Pm  0.169  0.834  0.338
Pm  0.500  0.500  0.000
Te  0.000  0.242  0.999
Te  0.663  0.084  0.326
Te  0.668  0.581  0.335
Te  0.337  0.916  0.674
Te  0.332  0.419  0.665
Te  0.000  0.758  0.001
Pu  0.166  0.333  0.332
Pu  0.834  0.667  0.668
Er  0.500  0.000  0.000

Below is a relaxed PmErPuTh crystal, with properties calculated at the PBE level.

Results
Its total magnetization is 8.1 μB/f.u. Its final energy is -7.555 eV/atom. For the energy of formation from the pure elements, the calculation gives 20.4 kJ per mole of atoms.

a = 5.598 Å, b = 5.598 Å, c = 5.598 Å
α = 60.00°, β = 60.00°, γ = 60.00°
Element x y z (fractional)
Pu  0.750  0.750  0.750
Th  0.000  0.000  0.000
Pm  0.500  0.500  0.500
Er  0.250  0.250  0.250

Below is a relaxed Pm2Er6Tm3Pu crystal, with properties calculated at the PBE level.

Results
Its total magnetization is 6.2 μB/f.u. Its final energy is -5.336 eV/atom. For the energy of formation from the pure elements, the calculation gives 4.8 kJ per mole of atoms.

a = 6.097 Å, b = 6.097 Å, c = 11.615 Å
α = 95.04°, β = 95.04°, γ = 120.03°
Element x y z (fractional)
Er  0.587  0.916  0.748
Er  0.413  0.084  0.252
Er  0.754  0.754  0.252
Er  0.916  0.587  0.748
Er  0.084  0.413  0.252
Er  0.246  0.246  0.748
Tm  0.167  0.833  0.500
Tm  0.833  0.167  0.500
Tm  0.500  0.500  0.500
Pm  0.666  0.334  0.000
Pm  0.334  0.666  0.000
Pu  0.000  0.000  0.000

Below is a relaxed Pm3Er2Tm6Pu crystal, with properties calculated at the PBE level.

Results
Its total magnetization is 6.5 μB/f.u. Its final energy is -5.336 eV/atom. For the energy of formation from the pure elements, the calculation gives 4.1 kJ per mole of atoms.

a = 6.108 Å, b = 6.108 Å, c = 11.601 Å
α = 95.04°, β = 95.04°, γ = 119.99°
Element x y z (fractional)
Tm  0.589  0.918  0.755
Tm  0.248  0.248  0.755
Tm  0.918  0.589  0.755
Tm  0.752  0.752  0.245
Tm  0.411  0.082  0.245
Tm  0.082  0.411  0.245
Pm  0.833  0.167  0.500
Pm  0.500  0.500  0.500
Pm  0.167  0.833  0.500
Er  0.333  0.667  0.000
Er  0.667  0.333  0.000
Pu  0.000  0.000  0.000